Entry 1:
Here is an optimized crystal structure of CsMn2CrCl8 from Alexandria via LeMat-Bulk. Energies are from PBE.

abc: 10.476 10.476 10.476
angles: 40.02 40.02 40.02
Sites, in units of the cell vectors:
Cs (0.000, 0.000, 0.000)
Mn (0.239, 0.239, 0.239)
Mn (0.761, 0.761, 0.761)
Cr (0.500, 0.500, 0.500)
Cl (0.144, 0.602, 0.602)
Cl (0.317, 0.317, 0.317)
Cl (0.398, 0.398, 0.856)
Cl (0.398, 0.856, 0.398)
Cl (0.602, 0.144, 0.602)
Cl (0.602, 0.602, 0.144)
Cl (0.683, 0.683, 0.683)
Cl (0.856, 0.398, 0.398)

Computed properties:
Uncorrected formation energy = -1.16 eV per atom
Electronic total energy = -57.5 eV per cell


Entry 2:
Here is an optimized crystal structure of CsMnCrCl6 from Alexandria via LeMat-Bulk. Energies are from PBE.

abc: 6.451 6.451 7.815
angles: 90.00 90.00 120.00
Sites, in units of the cell vectors:
Cs (0.000, 0.000, 0.000)
Mn (0.333, 0.667, 0.500)
Cr (0.667, 0.333, 0.500)
Cl (0.383, 0.020, 0.324)
Cl (0.383, 0.363, 0.676)
Cl (0.637, 0.020, 0.676)
Cl (0.637, 0.617, 0.324)
Cl (0.980, 0.363, 0.324)
Cl (0.980, 0.617, 0.676)

Computed properties:
Uncorrected formation energy = -1.33 eV per atom
Electronic total energy = -42.7 eV per cell


Entry 3:
Here is an optimized crystal structure of Cs2CrMoCl6 from Alexandria via LeMat-Bulk. Energies are from PBE.

abc: 7.311 7.311 7.311
angles: 120.06 120.06 89.89
Sites, in units of the cell vectors:
Cs (0.250, 0.750, 0.500)
Cs (0.750, 0.250, 0.500)
Cr (0.000, 0.000, 0.000)
Mo (0.500, 0.500, 0.000)
Cl (0.253, 0.253, 0.506)
Cl (0.253, 0.747, 0.000)
Cl (0.254, 0.254, 0.000)
Cl (0.746, 0.746, 0.000)
Cl (0.747, 0.253, 0.000)
Cl (0.747, 0.747, 0.494)

Computed properties:
Uncorrected formation energy = -1.22 eV per atom
Electronic total energy = -45.4 eV per cell
DOS at the Fermi energy = 0.4 states/eV per cell


Entry 4:
Here is an optimized crystal structure of Cs2CrNCl6 from Alexandria via LeMat-Bulk. Energies are from PBE.

abc: 7.609 7.609 7.609
angles: 127.11 127.11 78.07
Sites, in units of the cell vectors:
Cs (0.250, 0.750, 0.500)
Cs (0.750, 0.250, 0.500)
Cr (0.000, 0.000, 0.000)
N (0.500, 0.500, 0.000)
Cl (0.198, 0.198, 0.000)
Cl (0.258, 0.258, 0.516)
Cl (0.258, 0.742, 0.000)
Cl (0.742, 0.258, 0.000)
Cl (0.742, 0.742, 0.484)
Cl (0.802, 0.802, 0.000)

Computed properties:
Uncorrected formation energy = -0.71 eV per atom
Electronic total energy = -37.8 eV per cell
DOS at the Fermi energy = 1.8 states/eV per cell


Entry 5:
Here is an optimized crystal structure of CsNa2CrCl8 from Alexandria via LeMat-Bulk. Energies are from PBE.

abc: 5.584 6.577 9.356
angles: 90.04 90.29 90.61
Sites, in units of the cell vectors:
Cs (0.000, 0.000, 0.000)
Na (0.499, 0.500, 0.713)
Na (0.501, 0.500, 0.287)
Cr (0.000, 0.000, 0.500)
Cl (0.226, 0.300, 0.499)
Cl (0.238, 0.862, 0.324)
Cl (0.240, 0.865, 0.677)
Cl (0.254, 0.496, 0.000)
Cl (0.746, 0.504, 0.000)
Cl (0.760, 0.135, 0.323)
Cl (0.762, 0.138, 0.676)
Cl (0.774, 0.700, 0.501)

Computed properties:
Uncorrected formation energy = -1.23 eV per atom
Electronic total energy = -42.7 eV per cell
DOS at the Fermi energy = 7.7 states/eV per cell


Entry 6:
Here is an optimized crystal structure of CsNaCr2Cl8 from Alexandria via LeMat-Bulk. Energies are from PBE.

abc: 10.302 10.302 10.302
angles: 38.29 38.29 38.29
Sites, in units of the cell vectors:
Cs (0.000, 0.000, 0.000)
Na (0.500, 0.500, 0.500)
Cr (0.245, 0.245, 0.245)
Cr (0.755, 0.755, 0.755)
Cl (0.092, 0.779, 0.449)
Cl (0.221, 0.551, 0.908)
Cl (0.322, 0.322, 0.322)
Cl (0.449, 0.092, 0.779)
Cl (0.551, 0.908, 0.221)
Cl (0.678, 0.678, 0.678)
Cl (0.779, 0.449, 0.092)
Cl (0.908, 0.221, 0.551)

Computed properties:
Uncorrected formation energy = -1.23 eV per atom
Electronic total energy = -50.9 eV per cell
DOS at the Fermi energy = 12.9 states/eV per cell


Entry 7:
Here is an optimized crystal structure of Cs3NaCr2Cl9 from Alexandria via LeMat-Bulk. Energies are from PBE.

abc: 7.294 7.294 9.010
angles: 90.00 90.00 120.00
Sites, in units of the cell vectors:
Cs (0.000, 0.000, 0.000)
Cs (0.333, 0.667, 0.662)
Cs (0.667, 0.333, 0.338)
Na (0.000, 0.000, 0.500)
Cr (0.333, 0.667, 0.162)
Cr (0.667, 0.333, 0.838)
Cl (0.000, 0.500, 0.000)
Cl (0.178, 0.356, 0.312)
Cl (0.178, 0.822, 0.312)
Cl (0.356, 0.178, 0.688)
Cl (0.500, 0.000, 0.000)
Cl (0.500, 0.500, 0.000)
Cl (0.644, 0.822, 0.312)
Cl (0.822, 0.178, 0.688)
Cl (0.822, 0.644, 0.688)

Computed properties:
Uncorrected formation energy = -1.55 eV per atom
Electronic total energy = -62.9 eV per cell
DOS at the Fermi energy = 5.4 states/eV per cell


Entry 8:
Here is an optimized crystal structure of Cs2NbCrCl6 from Alexandria via LeMat-Bulk. Energies are from PBE.

abc: 7.350 7.350 7.350
angles: 60.00 60.00 60.00
Sites, in units of the cell vectors:
Cs (0.250, 0.250, 0.250)
Cs (0.750, 0.750, 0.750)
Nb (0.000, 0.000, 0.000)
Cr (0.500, 0.500, 0.500)
Cl (0.247, 0.247, 0.753)
Cl (0.247, 0.753, 0.247)
Cl (0.247, 0.753, 0.753)
Cl (0.753, 0.247, 0.247)
Cl (0.753, 0.247, 0.753)
Cl (0.753, 0.753, 0.247)

Computed properties:
Uncorrected formation energy = -1.31 eV per atom
Electronic total energy = -45.6 eV per cell
DOS at the Fermi energy = 18.5 states/eV per cell


Entry 9:
Here is an optimized crystal structure of Cs2CrNiCl6 from Alexandria via LeMat-Bulk. Energies are from PBE.

abc: 7.072 7.072 7.072
angles: 119.84 119.84 90.28
Sites, in units of the cell vectors:
Cs (0.250, 0.750, 0.500)
Cs (0.750, 0.250, 0.500)
Cr (0.000, 0.000, 0.000)
Ni (0.500, 0.500, 0.000)
Cl (0.246, 0.246, 0.491)
Cl (0.246, 0.754, 0.000)
Cl (0.249, 0.249, 0.000)
Cl (0.751, 0.751, 0.000)
Cl (0.754, 0.246, 0.000)
Cl (0.754, 0.754, 0.509)

Computed properties:
Uncorrected formation energy = -1.25 eV per atom
Electronic total energy = -40.7 eV per cell
DOS at the Fermi energy = 3.2 states/eV per cell


Entry 10:
Here is an optimized crystal structure of CsCrNiCl6 from Alexandria via LeMat-Bulk. Energies are from PBE.

abc: 6.230 6.230 7.891
angles: 90.00 90.00 120.00
Sites, in units of the cell vectors:
Cs (0.000, 0.000, 0.000)
Cr (0.667, 0.333, 0.500)
Ni (0.333, 0.667, 0.500)
Cl (0.373, 0.006, 0.670)
Cl (0.373, 0.367, 0.330)
Cl (0.633, 0.006, 0.330)
Cl (0.633, 0.627, 0.670)
Cl (0.994, 0.367, 0.670)
Cl (0.994, 0.627, 0.330)

Computed properties:
Uncorrected formation energy = -1.14 eV per atom
Electronic total energy = -37.6 eV per cell


Entry 11:
Here is an optimized crystal structure of Cs2CrOsCl6 from Alexandria via LeMat-Bulk. Energies are from PBE.

abc: 7.145 7.145 7.145
angles: 119.97 119.97 90.06
Sites, in units of the cell vectors:
Cs (0.250, 0.750, 0.500)
Cs (0.750, 0.250, 0.500)
Cr (0.000, 0.000, 0.000)
Os (0.500, 0.500, 0.000)
Cl (0.257, 0.257, 0.000)
Cl (0.258, 0.258, 0.515)
Cl (0.258, 0.742, 0.000)
Cl (0.742, 0.258, 0.000)
Cl (0.742, 0.742, 0.485)
Cl (0.743, 0.743, 0.000)

Computed properties:
Uncorrected formation energy = -0.96 eV per atom
Electronic total energy = -43.2 eV per cell
DOS at the Fermi energy = 14.0 states/eV per cell


Entry 12:
Here is an optimized crystal structure of CsCrP2Cl from Alexandria via LeMat-Bulk. Energies are from PBE.

abc: 5.908 5.908 6.090
angles: 90.00 90.00 90.00
Sites, in units of the cell vectors:
Cs (0.000, 0.000, 0.000)
Cr (0.500, 0.500, 0.500)
P (0.000, 0.500, 0.000)
P (0.500, 0.000, 0.000)
Cl (0.000, 0.000, 0.500)

Computed properties:
Uncorrected formation energy = 1.55 eV per atom
Electronic total energy = -15.4 eV per cell
DOS at the Fermi energy = 7.3 states/eV per cell
Offset from the most stable computed form = 888 kJ/mol of formula units


Entry 13:
Here is an optimized crystal structure of CsCrP2Cl from Alexandria via LeMat-Bulk. Energies are from PBE.

abc: 4.512 4.512 6.416
angles: 90.00 90.00 90.00
Sites, in units of the cell vectors:
Cs (0.000, 0.000, 0.000)
Cr (0.500, 0.500, 0.500)
P (0.000, 0.500, 0.500)
P (0.500, 0.000, 0.500)
Cl (0.500, 0.500, 0.000)

Computed properties:
Uncorrected formation energy = -0.29 eV per atom
Electronic total energy = -24.6 eV per cell
DOS at the Fermi energy = 2.8 states/eV per cell
Offset from the most stable computed form = 0 kJ/mol of formula units


Entry 14:
Here is an optimized crystal structure of CsCr2PbCl8 from Alexandria via LeMat-Bulk. Energies are from PBE.

abc: 10.740 10.740 10.740
angles: 36.65 36.65 36.65
Sites, in units of the cell vectors:
Cs (0.000, 0.000, 0.000)
Cr (0.247, 0.247, 0.247)
Cr (0.753, 0.753, 0.753)
Pb (0.500, 0.500, 0.500)
Cl (0.100, 0.439, 0.776)
Cl (0.224, 0.561, 0.900)
Cl (0.321, 0.321, 0.321)
Cl (0.439, 0.776, 0.100)
Cl (0.561, 0.900, 0.224)
Cl (0.679, 0.679, 0.679)
Cl (0.776, 0.100, 0.439)
Cl (0.900, 0.224, 0.561)

Computed properties:
Uncorrected formation energy = -1.11 eV per atom
Electronic total energy = -51.9 eV per cell
DOS at the Fermi energy = 12.7 states/eV per cell


Entry 15:
Here is an optimized crystal structure of CsCrPb2Cl8 from Alexandria via LeMat-Bulk. Energies are from PBE.

abc: 6.835 7.218 8.222
angles: 73.05 89.14 89.28
Sites, in units of the cell vectors:
Cs (0.000, 0.000, 0.000)
Cr (0.000, 0.500, 0.500)
Pb (0.465, 0.475, 0.263)
Pb (0.535, 0.525, 0.737)
Cl (0.048, 0.443, 0.231)
Cl (0.241, 0.742, 0.423)
Cl (0.247, 0.269, 0.615)
Cl (0.480, 0.766, 0.957)
Cl (0.520, 0.234, 0.043)
Cl (0.753, 0.731, 0.385)
Cl (0.759, 0.258, 0.577)
Cl (0.952, 0.557, 0.769)

Computed properties:
Uncorrected formation energy = -1.31 eV per atom
Electronic total energy = -48.4 eV per cell
DOS at the Fermi energy = 0.0 states/eV per cell


Entry 16:
Here is an optimized crystal structure of CsCrPdCl6 from Alexandria via LeMat-Bulk. Energies are from PBE.

abc: 6.425 6.425 7.850
angles: 90.00 90.00 120.00
Sites, in units of the cell vectors:
Cs (0.000, 0.000, 0.000)
Cr (0.333, 0.667, 0.500)
Pd (0.667, 0.333, 0.500)
Cl (0.022, 0.377, 0.673)
Cl (0.022, 0.645, 0.327)
Cl (0.355, 0.377, 0.327)
Cl (0.355, 0.978, 0.673)
Cl (0.623, 0.645, 0.673)
Cl (0.623, 0.978, 0.327)

Computed properties:
Uncorrected formation energy = -1.06 eV per atom
Electronic total energy = -36.3 eV per cell


Entry 17:
Here is an optimized crystal structure of Cs2CrPdCl6 from Alexandria via LeMat-Bulk. Energies are from PBE.

abc: 7.537 7.537 7.537
angles: 124.89 124.89 81.72
Sites, in units of the cell vectors:
Cs (0.250, 0.750, 0.500)
Cs (0.750, 0.250, 0.500)
Cr (0.000, 0.000, 0.000)
Pd (0.500, 0.500, 0.000)
Cl (0.206, 0.206, 0.000)
Cl (0.250, 0.250, 0.500)
Cl (0.250, 0.750, 0.000)
Cl (0.750, 0.250, 0.000)
Cl (0.750, 0.750, 0.500)
Cl (0.794, 0.794, 0.000)

Computed properties:
Uncorrected formation energy = -1.26 eV per atom
Electronic total energy = -40.2 eV per cell
DOS at the Fermi energy = 0.0 states/eV per cell


Entry 18:
Here is an optimized crystal structure of CsPmCrCl6 from Alexandria via LeMat-Bulk. Energies are from PBE.

abc: 9.624 9.624 9.624
angles: 121.81 117.90 90.28
Sites, in units of the cell vectors:
Cs (0.296, 0.046, 0.250)
Cs (0.704, 0.954, 0.750)
Pm (0.000, 0.500, 0.500)
Pm (0.500, 0.500, 0.000)
Cr (0.000, 0.000, 0.500)
Cr (0.000, 0.500, 0.000)
Cl (0.040, 0.790, 0.250)
Cl (0.051, 0.397, 0.209)
Cl (0.051, 0.842, 0.654)
Cl (0.312, 0.158, 0.709)
Cl (0.312, 0.603, 0.154)
Cl (0.340, 0.590, 0.750)
Cl (0.660, 0.410, 0.250)
Cl (0.688, 0.397, 0.846)
Cl (0.688, 0.842, 0.291)
Cl (0.949, 0.158, 0.346)
Cl (0.949, 0.603, 0.791)
Cl (0.960, 0.210, 0.750)

Computed properties:
Uncorrected formation energy = -1.75 eV per atom
Electronic total energy = -84.0 eV per cell
DOS at the Fermi energy = 6.4 states/eV per cell


Entry 19:
Here is an optimized crystal structure of CsPu2CrCl8 from Alexandria via LeMat-Bulk. Energies are from PBE.

abc: 6.718 6.833 8.803
angles: 89.80 89.73 82.18
Sites, in units of the cell vectors:
Cs (0.000, 0.000, 0.000)
Pu (0.500, 0.499, 0.736)
Pu (0.500, 0.501, 0.264)
Cr (0.000, 0.000, 0.500)
Cl (0.227, 0.835, 0.690)
Cl (0.229, 0.839, 0.309)
Cl (0.290, 0.351, 0.501)
Cl (0.303, 0.376, 0.001)
Cl (0.697, 0.624, 0.999)
Cl (0.710, 0.649, 0.499)
Cl (0.771, 0.161, 0.691)
Cl (0.773, 0.165, 0.310)

Computed properties:
Uncorrected formation energy = -1.65 eV per atom
Electronic total energy = -73.7 eV per cell
DOS at the Fermi energy = 24.9 states/eV per cell


Entry 20:
Here is an optimized crystal structure of CsPuCrCl6 from Alexandria via LeMat-Bulk. Energies are from PBE.

abc: 6.870 6.870 7.749
angles: 90.00 90.00 120.00
Sites, in units of the cell vectors:
Cs (0.000, 0.000, 0.000)
Pu (0.667, 0.333, 0.500)
Cr (0.333, 0.667, 0.500)
Cl (0.028, 0.385, 0.688)
Cl (0.028, 0.643, 0.312)
Cl (0.357, 0.385, 0.312)
Cl (0.357, 0.972, 0.688)
Cl (0.615, 0.643, 0.688)
Cl (0.615, 0.972, 0.312)

Computed properties:
Uncorrected formation energy = -1.63 eV per atom
Electronic total energy = -50.6 eV per cell
DOS at the Fermi energy = 13.4 states/eV per cell